(1)
## PmTh2UP4 (PBE)

Data for a relaxed PmTh2UP4 crystal.

abc: 5.788 5.788 7.084
angles: 114.11 114.11 90.00
Element x y z (fractional)
1 Pm 0.500 0.500 0.000
2 Th 0.250 0.750 0.500
3 Th 0.000 0.000 0.000
4 U 0.750 0.250 0.500
5 P 0.993 0.493 0.986
6 P 0.507 0.007 0.014
7 P 0.750 0.750 0.500
8 P 0.250 0.250 0.500

Values from the calculation:
Fermi-level density of states: 7.82 states/eV per cell
E_form: -1.3971 eV/atom
Electronic total energy: -63.7 eV per cell

***

(2)
## PmY3Th2P6 (PBE)

Data for a relaxed PmY3Th2P6 crystal.

abc: 7.079 7.079 7.037
angles: 99.63 99.63 120.05
Element x y z (fractional)
1 Pm 0.000 0.000 0.000
2 Y 0.166 0.834 0.500
3 Y 0.834 0.166 0.500
4 Y 0.500 0.500 0.500
5 Th 0.333 0.667 0.000
6 Th 0.667 0.333 0.000
7 P 0.915 0.580 0.744
8 P 0.751 0.751 0.256
9 P 0.085 0.420 0.256
10 P 0.580 0.915 0.744
11 P 0.249 0.249 0.744
12 P 0.420 0.085 0.256

Values from the calculation:
Fermi-level density of states: 2.22 states/eV per cell
E_form: -1.6109 eV/atom
Electronic total energy: -90.8 eV per cell